## Li3Ti2V2O8 (GGA+U)

Data for an optimized crystal structure of Li3Ti2V2O8.

Values from the calculation:
E   -7.4808 eV per atom
Space-group type   C2/m

abc: 5.974 5.974 6.023
angles: 120.16 120.16 59.82
Fractional coordinates of all 15 atoms:
Li1 0.000 0.000 0.000
Li2 0.000 0.500 0.500
Li3 0.500 0.000 0.500
Ti1 0.000 0.500 0.000
Ti2 0.500 0.000 0.000
V1 0.500 0.500 0.000
V2 0.500 0.500 0.500
O1 0.249 0.720 0.224
O2 0.251 0.251 0.231
O3 0.255 0.255 0.779
O4 0.280 0.751 0.776
O5 0.720 0.249 0.224
O6 0.745 0.745 0.221
O7 0.749 0.749 0.769
O8 0.751 0.280 0.776